Record 1
ThZnSiRh3: relaxed, PBE.

Results
Spin magnetization (μB/f.u.): 0.000
ΔE_f (raw) (kcal/mol of atoms): -12.056
Symmetry: Cmcm

a = 5.678 Å, b = 5.594 Å, c = 8.039 Å
α = 110.36°, β = 90.00°, γ = 90.00°
Atoms (fractional coordinates):
1 Th 0.750 0.295 0.591
2 Th 0.250 0.705 0.409
3 Zn 0.250 0.392 0.785
4 Zn 0.750 0.608 0.215
5 Si 0.250 0.074 0.148
6 Si 0.750 0.926 0.852
7 Rh 0.250 0.229 0.457
8 Rh 0.000 0.261 0.000
9 Rh 0.500 0.739 0.000
10 Rh 0.500 0.261 0.000
11 Rh 0.000 0.739 0.000
12 Rh 0.750 0.771 0.543

***

Record 2
Th2ZnSi3Rh4: relaxed, PBE.

Results
Spin magnetization (μB/f.u.): 0.000
ΔE_f (raw) (kcal/mol of atoms): -22.687
Symmetry: P-4m2

a = 4.164 Å, b = 4.164 Å, c = 10.156 Å
α = 90.00°, β = 90.00°, γ = 90.00°
Atoms (fractional coordinates):
1 Th 0.500 0.000 0.256
2 Th 0.000 0.500 0.744
3 Zn 0.500 0.500 0.500
4 Si 0.000 0.000 0.500
5 Si 0.500 0.000 0.873
6 Si 0.000 0.500 0.127
7 Rh 0.500 0.500 0.000
8 Rh 0.000 0.000 0.000
9 Rh 0.500 0.000 0.639
10 Rh 0.000 0.500 0.361

***

Going through the records in order, we get DOS at the Fermi energy values of 7.4, 5.4 states/eV/cell.